LiMg2: optimized geometry, PBE-GGA.

abc: 4.829 4.829 3.134
angles: 90.00 90.00 90.00
Fractional coordinates of all 3 atoms:
Li  0.000  0.000  0.000
Mg  0.000  0.500  0.500
Mg  0.500  0.000  0.500

Summary:
For the density, the calculation gives 1.26 Mg/m³. Its total magnetization is 0.00 μB/atom. The energy is -1.54 eV/atom. As for the formation energy: 0.5 eV per formula unit.